Below is Zr2NbIrPb at its PBEsol-relaxed geometry, with properties calculated at the SCAN level.

Results
ΔH_f (0 K)   1489.5 meV per atom
Density of states at the Fermi level   5.5 states/eV/cell
Symmetry   P4/mmm (123)

a b c (Å): 5.1999 5.1999 4.7954
angles (deg): 90.00 90.00 90.00
Fractional positions:
Zr 0.0000 0.5000 0.0000
Zr 0.5000 0.0000 0.0000
Nb 0.0000 0.0000 0.5000
Ir 0.5000 0.5000 0.5000
Pb 0.5000 0.5000 0.0000

***

Below is LiZr2Al at its PBEsol-relaxed geometry, with properties calculated at the SCAN level.

Results
ΔH_f (0 K)   78.1 meV per atom
Density of states at the Fermi level   2.0 states/eV/cell
Symmetry   F-43m (216)

a b c (Å): 4.8115 4.8115 4.8115
angles (deg): 60.00 60.00 60.00
Fractional positions:
Li 0.0000 0.0000 0.0000
Zr 0.2500 0.2500 0.2500
Zr 0.5000 0.5000 0.5000
Al 0.7500 0.7500 0.7500

***

Below is CsY3Tl at its PBEsol-relaxed geometry, with properties calculated at the SCAN level.

Results
ΔH_f (0 K)   1185.6 meV per atom
Density of states at the Fermi level   4.1 states/eV/cell
Symmetry   Pm-3m (221)

a b c (Å): 5.5341 5.5341 5.5341
angles (deg): 90.00 90.00 90.00
Fractional positions:
Cs 0.0000 0.0000 0.0000
Y 0.0000 0.0000 0.5000
Y 0.0000 0.5000 0.0000
Y 0.5000 0.0000 0.0000
Tl 0.5000 0.5000 0.5000

***

Below is AgMo2Ru at its PBEsol-relaxed geometry, with properties calculated at the SCAN level.

Results
ΔH_f (0 K)   458.5 meV per atom
Density of states at the Fermi level   2.9 states/eV/cell
Symmetry   C2/m (12)

a b c (Å): 4.8931 4.8931 4.6049
angles (deg): 101.87 101.87 33.96
Fractional positions:
Ag 0.0000 0.0000 0.0000
Mo 0.2429 0.2429 0.7295
Mo 0.7571 0.7571 0.2705
Ru 0.5000 0.5000 0.5000

***

Below is NdNb4O12 at its PBEsol-relaxed geometry, with properties calculated at the SCAN level.

Results
Raw formation energy   -2.748 eV/atom
Density of states at the Fermi level   3.8 states/eV/cell
Symmetry   Amm2 (38)

a b c (Å): 7.8743 5.5693 5.5693
angles (deg): 88.98 90.00 90.00
Fractional positions:
Nd 0.0000 0.0000 0.0000
Nb 0.2570 0.0111 0.5064
Nb 0.2570 0.5064 0.0111
Nb 0.7430 0.0111 0.5064
Nb 0.7430 0.5064 0.0111
O 0.0000 0.5679 0.9995
O 0.0000 0.9995 0.5679
O 0.1980 0.2537 0.2537
O 0.2280 0.2692 0.7745
O 0.2280 0.7745 0.2692
O 0.2581 0.7915 0.7915
O 0.5000 0.0566 0.4957
O 0.5000 0.4957 0.0566
O 0.7419 0.7915 0.7915
O 0.7720 0.2692 0.7745
O 0.7720 0.7745 0.2692
O 0.8020 0.2537 0.2537

***

Below is RbB2Cl at its PBEsol-relaxed geometry, with properties calculated at the SCAN level.

Results
Raw formation energy   0.755 eV/atom
Density of states at the Fermi level   2.7 states/eV/cell
Symmetry   I4_1/amd (141)

a b c (Å): 10.5375 10.5375 10.5375
angles (deg): 158.88 158.88 30.04
Fractional positions:
Rb 0.3750 0.6250 0.7500
Rb 0.6250 0.3750 0.2500
B 0.0000 0.0000 0.0000
B 0.0000 0.0000 0.5000
B 0.0000 0.5000 0.0000
B 0.5000 0.0000 0.5000
Cl 0.1250 0.8750 0.2500
Cl 0.8750 0.1250 0.7500

***

Below is CrNiIr2 at its PBEsol-relaxed geometry, with properties calculated at the SCAN level.

Results
ΔH_f (0 K)   -114.2 meV per atom
Density of states at the Fermi level   3.6 states/eV/cell
Symmetry   R-3m (166)

a b c (Å): 8.5016 8.5016 8.5016
angles (deg): 17.87 17.87 17.87
Fractional positions:
Cr 0.0000 0.0000 0.0000
Ni 0.5000 0.5000 0.5000
Ir 0.2514 0.2514 0.2514
Ir 0.7486 0.7486 0.7486

***

Below is RbBH4 at its PBEsol-relaxed geometry, with properties calculated at the SCAN level.

Results
E_tot   -44.78 eV per cell
Density of states at the Fermi level   0.0 states/eV/cell
Symmetry   F-43m (216)

a b c (Å): 4.8014 4.8014 4.8014
angles (deg): 60.00 60.00 60.00
Fractional positions:
Rb 0.0000 0.0000 0.0000
B 0.5000 0.5000 0.5000
H 0.1851 0.6050 0.6050
H 0.6050 0.1851 0.6050
H 0.6050 0.6050 0.1851
H 0.6050 0.6050 0.6050

***

Below is Sr3Sc3N5 at its PBEsol-relaxed geometry, with properties calculated at the SCAN level.

Results
Raw formation energy   -1.430 eV/atom
Density of states at the Fermi level   0.0 states/eV/cell
Symmetry   P-1 (2)

a b c (Å): 6.1668 7.6870 9.0367
angles (deg): 108.06 105.92 98.06
Fractional positions:
Sr 0.1748 0.1229 0.1997
Sr 0.1791 0.3522 0.8890
Sr 0.2845 0.9326 0.5968
Sr 0.7155 0.0674 0.4032
Sr 0.8209 0.6478 0.1110
Sr 0.8252 0.8771 0.8003
Sc 0.2217 0.4608 0.5721
Sc 0.3552 0.6319 0.2886
Sc 0.3931 0.8069 0.9640
Sc 0.6069 0.1931 0.0360
Sc 0.6448 0.3681 0.7114
Sc 0.7783 0.5392 0.4279
N 0.0956 0.5792 0.3894
N 0.2264 0.7505 0.1180
N 0.2714 0.0160 0.8868
N 0.3362 0.2113 0.5120
N 0.4936 0.5898 0.8042
N 0.5064 0.4102 0.1958
N 0.6637 0.7887 0.4880
N 0.7286 0.9840 0.1132
N 0.7736 0.2495 0.8820
N 0.9044 0.4208 0.6106

***

Below is S5I2O18 at its PBEsol-relaxed geometry, with properties calculated at the SCAN level.

Results
Raw formation energy   -1.098 eV/atom
Density of states at the Fermi level   0.0 states/eV/cell
Symmetry   C2/c (15)

a b c (Å): 14.8640 14.8640 9.1292
angles (deg): 103.43 103.43 22.55
Fractional positions:
S 0.0204 0.8148 0.2216
S 0.1758 0.8242 0.7500
S 0.1852 0.9796 0.2784
S 0.2476 0.3376 0.1731
S 0.3376 0.2476 0.6731
S 0.6624 0.7524 0.3269
S 0.7524 0.6624 0.8269
S 0.8148 0.0204 0.7216
S 0.8242 0.1758 0.2500
S 0.9796 0.1852 0.7784
I 0.1553 0.5592 0.4874
I 0.4408 0.8447 0.0126
I 0.5592 0.1553 0.9874
I 0.8447 0.4408 0.5126
O 0.0201 0.2093 0.2855
O 0.0292 0.0320 0.6765
O 0.0320 0.0292 0.1765
O 0.0632 0.5588 0.1194
O 0.1068 0.7424 0.0805
O 0.1255 0.4769 0.5786
O 0.1913 0.6287 0.3269
O 0.2093 0.0201 0.7855
O 0.2198 0.2697 0.1822
O 0.2576 0.8932 0.4195
O 0.2620 0.6782 0.6267
O 0.2697 0.2198 0.6822
O 0.2980 0.3555 0.8318
O 0.3218 0.7380 0.8733
O 0.3555 0.2980 0.3318
O 0.3713 0.8087 0.1731
O 0.4412 0.9368 0.3806
O 0.4769 0.1255 0.0786
O 0.5231 0.8745 0.9214
O 0.5588 0.0632 0.6194
O 0.6287 0.1913 0.8269
O 0.6445 0.7020 0.6682
O 0.6782 0.2620 0.1267
O 0.7020 0.6445 0.1682
O 0.7303 0.7802 0.3178
O 0.7380 0.3218 0.3733
O 0.7424 0.1068 0.5805
O 0.7802 0.7303 0.8178
O 0.7907 0.9799 0.2145
O 0.8087 0.3713 0.6731
O 0.8745 0.5231 0.4214
O 0.8932 0.2576 0.9195
O 0.9368 0.4412 0.8806
O 0.9680 0.9708 0.8235
O 0.9708 0.9680 0.3235
O 0.9799 0.7907 0.7145

***

Below is MoW7 at its PBEsol-relaxed geometry, with properties calculated at the SCAN level.

Results
ΔH_f (0 K)   1.2 meV per atom
Density of states at the Fermi level   8.6 states/eV/cell
Symmetry   R-3m (166)

a b c (Å): 6.3007 6.3007 6.3007
angles (deg): 90.00 90.00 90.00
Fractional positions:
Mo 0.1248 0.1248 0.1248
Mo 0.8752 0.8752 0.8752
W 0.1247 0.1247 0.6253
W 0.1247 0.6253 0.1247
W 0.1248 0.6252 0.6252
W 0.3747 0.3747 0.3747
W 0.3748 0.3748 0.8752
W 0.3748 0.8752 0.3748
W 0.3747 0.8753 0.8753
W 0.6253 0.1247 0.1247
W 0.6252 0.1248 0.6252
W 0.6252 0.6252 0.1248
W 0.6253 0.6253 0.6253
W 0.8752 0.3748 0.3748
W 0.8753 0.3747 0.8753
W 0.8753 0.8753 0.3747

***

Below is MgTaP2Ir at its PBEsol-relaxed geometry, with properties calculated at the SCAN level.

Results
ΔH_f (0 K)   1484.5 meV per atom
Density of states at the Fermi level   2.6 states/eV/cell
Symmetry   P4/mmm (123)

a b c (Å): 4.4870 4.4870 4.3916
angles (deg): 90.00 90.00 90.00
Fractional positions:
Mg 0.0000 0.0000 0.0000
Ta 0.5000 0.5000 0.5000
P 0.0000 0.5000 0.0000
P 0.5000 0.0000 0.0000
Ir 0.0000 0.0000 0.5000